# 1
The following is a PBE-GGA calculation of an optimized crystal structure of LaFeCu3, from the Alexandria database.

a b c (Å): 4.5761 4.5761 4.5761
angles (deg): 90.00 90.00 90.00
Each line ends with the local moment (μB).
Atoms (fractional coordinates):
Fe: 0.0000 0.0000 0.0000  2.33
Cu: 0.0000 0.5000 0.0000  0.11
Cu: 0.0000 0.0000 0.5000  0.18
Cu: 0.5000 0.0000 0.0000  0.03
La: 0.5000 0.5000 0.5000  -0.14

Energy above the most stable polymorph in this dataset ... 0 kJ/mol of formula units

# 2
The following is a PBE-GGA calculation of an optimized crystal structure of LaNdFeCu, from the Alexandria database.

a b c (Å): 5.0449 5.0449 5.0449
angles (deg): 60.00 60.00 60.00
Each line ends with the local moment (μB).
Atoms (fractional coordinates):
Nd: 0.5000 0.5000 0.5000  -0.27
Fe: 0.7500 0.7500 0.7500  1.97
Cu: 0.2500 0.2500 0.2500  -0.03
La: 0.0000 0.0000 0.0000  -0.21

DFT total energy ... -5.465 eV per atom

Number 1: Fermi-level density of states 1.232 states/eV per atom. Number 2: Fermi-level density of states 1.227 states/eV per atom.